# La5Tb3Pr | the Alexandria database | GGA-PBE | optimized geometry
# * calculated formation energy: 0.238 eV/atom
# * space-group type: C2/c, No. 15
# * ΔE to the lowest computed polymorph: 0 meV per atom
# * V: 329.5 Å³/f.u.
data_La5Tb3Pr
_chemical_formula_sum 'La10 Tb6 Pr2'
_space_group_name_H-M_alt 'P 1'
_space_group_IT_number 1
_space_group_name_Hall 'P 1'
_cell_length_a 6.629
_cell_length_b 11.911
_cell_length_c 11.496
_cell_angle_alpha 128.97
_cell_angle_beta 90.00
_cell_angle_gamma 106.16
loop_
_atom_site_label
_atom_site_fract_x
_atom_site_fract_y
_atom_site_fract_z
_atom_site_occupancy
Pr1 0.138 0.000 0.250 1
Pr2 0.862 0.000 0.750 1
La1 0.345 0.340 0.979 1
La2 0.526 0.663 0.375 1
La3 0.995 0.340 0.479 1
La4 0.596 0.000 0.250 1
La5 0.655 0.660 0.021 1
La6 0.474 0.337 0.625 1
La7 0.137 0.663 0.875 1
La8 0.404 0.000 0.750 1
La9 0.863 0.337 0.125 1
La10 0.005 0.660 0.521 1
Tb1 0.867 0.322 0.807 1
Tb2 0.000 0.000 0.000 1
Tb3 0.454 0.322 0.307 1
Tb4 0.133 0.678 0.193 1
Tb5 0.000 0.000 0.500 1
Tb6 0.546 0.678 0.693 1

# Tb6Sm2Y3Er | the Alexandria database | GGA-PBE | optimized geometry
# * calculated formation energy: 0.016 eV/atom
# * space-group type: C2/m, No. 12
# * V: 385.9 Å³/f.u.
data_Tb6Sm2Y3Er
_chemical_formula_sum 'Tb6 Sm2 Y3 Er1'
_space_group_name_H-M_alt 'P 1'
_space_group_IT_number 1
_space_group_name_Hall 'P 1'
_cell_length_a 6.181
_cell_length_b 6.181
_cell_length_c 11.837
_cell_angle_alpha 94.97
_cell_angle_beta 94.97
_cell_angle_gamma 119.96
loop_
_atom_site_label
_atom_site_fract_x
_atom_site_fract_y
_atom_site_fract_z
_atom_site_occupancy
Er1 0.000 0.000 0.000 1
Tb1 0.583 0.916 0.750 1
Tb2 0.084 0.417 0.250 1
Tb3 0.249 0.249 0.749 1
Tb4 0.916 0.583 0.750 1
Tb5 0.751 0.751 0.251 1
Tb6 0.417 0.084 0.250 1
Sm1 0.333 0.667 0.000 1
Sm2 0.667 0.333 0.000 1
Y1 0.500 0.500 0.500 1
Y2 0.834 0.166 0.500 1
Y3 0.166 0.834 0.500 1

# LaZrSc2 | the Alexandria database | GGA-PBE | optimized geometry
# * calculated formation energy: 0.197 eV/atom
# * space-group type: F-43m, No. 216
# * ΔE to the lowest computed polymorph: 145 meV per atom
# * V: 106.0 Å³/f.u.
data_LaZrSc2
_chemical_formula_sum 'La1 Zr1 Sc2'
_space_group_name_H-M_alt 'P 1'
_space_group_IT_number 1
_space_group_name_Hall 'P 1'
_cell_length_a 5.313
_cell_length_b 5.313
_cell_length_c 5.313
_cell_angle_alpha 60.00
_cell_angle_beta 60.00
_cell_angle_gamma 60.00
loop_
_atom_site_label
_atom_site_fract_x
_atom_site_fract_y
_atom_site_fract_z
_atom_site_occupancy
Zr1 0.750 0.750 0.750 1
La1 0.500 0.500 0.500 1
Sc1 0.250 0.250 0.250 1
Sc2 0.000 0.000 0.000 1

# V2GaRu3 | the Alexandria database | GGA-PBE | optimized geometry
# * calculated formation energy: -0.381 eV/atom
# * space-group type: P4/mmm, No. 123
# * V: 82.0 Å³/f.u.
data_V2GaRu3
_chemical_formula_sum 'V2 Ga1 Ru3'
_space_group_name_H-M_alt 'P 1'
_space_group_IT_number 1
_space_group_name_Hall 'P 1'
_cell_length_a 3.010
_cell_length_b 3.010
_cell_length_c 9.049
_cell_angle_alpha 90.00
_cell_angle_beta 90.00
_cell_angle_gamma 90.00
loop_
_atom_site_label
_atom_site_fract_x
_atom_site_fract_y
_atom_site_fract_z
_atom_site_occupancy
Ru1 0.000 0.000 0.328 1
Ru2 0.000 0.000 0.000 1
Ru3 0.000 0.000 0.672 1
V1 0.500 0.500 0.168 1
V2 0.500 0.500 0.832 1
Ga1 0.500 0.500 0.500 1